1.
# TbNi4Au8 (PBE, relaxed)
data_TbNi4Au8
_chemical_formula_sum 'Tb1 Ni4 Au8'
_cell_length_a 5.297
_cell_length_b 6.943
_cell_length_c 6.943
_cell_angle_alpha 81.63
_cell_angle_beta 67.58
_cell_angle_gamma 67.58
_symmetry_space_group_name_H-M 'P 1'
_symmetry_Int_Tables_number 1
_symmetry_space_group_name_Hall 'P 1'
loop_
_atom_site_label
_atom_site_type_symbol
_atom_site_fract_x
_atom_site_fract_y
_atom_site_fract_z
Au1 Au 0.500 0.780 0.220
Au2 Au 0.000 0.668 0.332
Au3 Au 0.720 0.780 0.780
Au4 Au 0.000 0.332 0.668
Au5 Au 0.500 0.220 0.780
Au6 Au 0.280 0.220 0.220
Au7 Au 0.332 0.668 0.668
Au8 Au 0.668 0.332 0.332
Tb1 Tb 0.000 0.000 0.000
Ni1 Ni 0.500 0.500 0.000
Ni2 Ni 0.000 0.000 0.500
Ni3 Ni 0.500 0.000 0.500
Ni4 Ni 0.000 0.500 0.000
# final energy	-0.1599	hartree per atom
# ΔH_f (0 K)	-4.6	kcal/mol of atoms
# magnetization	0.00	μB/cell



2.
# Tb2NiAu (PBE, relaxed)
data_Tb2NiAu
_chemical_formula_sum 'Tb4 Ni2 Au2'
_cell_length_a 4.511
_cell_length_b 5.628
_cell_length_c 7.557
_cell_angle_alpha 110.39
_cell_angle_beta 90.00
_cell_angle_gamma 90.00
_symmetry_space_group_name_H-M 'P 1'
_symmetry_Int_Tables_number 1
_symmetry_space_group_name_Hall 'P 1'
loop_
_atom_site_label
_atom_site_type_symbol
_atom_site_fract_x
_atom_site_fract_y
_atom_site_fract_z
Tb1 Tb 0.750 0.211 0.933
Tb2 Tb 0.250 0.789 0.067
Tb3 Tb 0.250 0.769 0.574
Tb4 Tb 0.750 0.231 0.426
Au1 Au 0.250 0.336 0.713
Au2 Au 0.750 0.664 0.287
Ni1 Ni 0.250 0.341 0.209
Ni2 Ni 0.750 0.659 0.791
# final energy	-0.1917	hartree per atom
# ΔH_f (0 K)	-14.7	kcal/mol of atoms
# magnetization	0.00	μB/cell



3.
# Tb8Ni2Au (PBE, relaxed)
data_Tb8Ni2Au
_chemical_formula_sum 'Tb8 Ni2 Au1'
_cell_length_a 5.648
_cell_length_b 7.726
_cell_length_c 7.726
_cell_angle_alpha 114.70
_cell_angle_beta 98.67
_cell_angle_gamma 98.67
_symmetry_space_group_name_H-M 'P 1'
_symmetry_Int_Tables_number 1
_symmetry_space_group_name_Hall 'P 1'
loop_
_atom_site_label
_atom_site_type_symbol
_atom_site_fract_x
_atom_site_fract_y
_atom_site_fract_z
Ni1 Ni 0.492 0.701 0.303
Ni2 Ni 0.492 0.303 0.701
Tb1 Tb 0.993 0.772 0.236
Tb2 Tb 0.577 0.341 0.083
Tb3 Tb 0.179 0.381 0.381
Tb4 Tb 0.577 0.083 0.341
Tb5 Tb 0.403 0.923 0.666
Tb6 Tb 0.403 0.666 0.923
Tb7 Tb 0.808 0.626 0.626
Tb8 Tb 0.993 0.236 0.772
Au1 Au 0.082 0.002 0.002
# final energy	-0.1805	hartree per atom
# ΔH_f (0 K)	-4.5	kcal/mol of atoms
# magnetization	0.00	μB/cell



4.
# Tb3Ni8Au (PBE, relaxed)
data_Tb3Ni8Au
_chemical_formula_sum 'Tb3 Ni8 Au1'
_cell_length_a 5.011
_cell_length_b 5.011
_cell_length_c 8.717
_cell_angle_alpha 73.30
_cell_angle_beta 73.30
_cell_angle_gamma 60.00
_symmetry_space_group_name_H-M 'P 1'
_symmetry_Int_Tables_number 1
_symmetry_space_group_name_Hall 'P 1'
loop_
_atom_site_label
_atom_site_type_symbol
_atom_site_fract_x
_atom_site_fract_y
_atom_site_fract_z
Tb1 Tb 0.991 0.991 0.027
Tb2 Tb 0.377 0.377 0.869
Tb3 Tb 0.507 0.507 0.479
Au1 Au 0.871 0.871 0.386
Ni1 Ni 0.188 0.188 0.437
Ni2 Ni 0.937 0.439 0.687
Ni3 Ni 0.688 0.688 0.937
Ni4 Ni 0.439 0.937 0.687
Ni5 Ni 0.436 0.942 0.185
Ni6 Ni 0.942 0.436 0.185
Ni7 Ni 0.436 0.436 0.185
Ni8 Ni 0.937 0.937 0.687
# final energy	-0.2100	hartree per atom
# ΔH_f (0 K)	-9.9	kcal/mol of atoms
# magnetization	0.00	μB/cell



5.
# Tb7Ni2Au2 (PBE, relaxed)
data_Tb7Ni2Au2
_chemical_formula_sum 'Tb7 Ni2 Au2'
_cell_length_a 6.678
_cell_length_b 6.928
_cell_length_c 6.678
_cell_angle_alpha 90.00
_cell_angle_beta 109.50
_cell_angle_gamma 90.00
_symmetry_space_group_name_H-M 'P 1'
_symmetry_Int_Tables_number 1
_symmetry_space_group_name_Hall 'P 1'
loop_
_atom_site_label
_atom_site_type_symbol
_atom_site_fract_x
_atom_site_fract_y
_atom_site_fract_z
Tb1 Tb 0.500 0.753 0.500
Tb2 Tb 0.500 0.747 0.000
Tb3 Tb 0.000 0.253 0.500
Tb4 Tb 0.000 0.000 0.000
Tb5 Tb 0.000 0.747 0.500
Tb6 Tb 0.500 0.253 0.000
Tb7 Tb 0.500 0.247 0.500
Ni1 Ni 0.294 0.000 0.706
Ni2 Ni 0.706 0.000 0.294
Au1 Au 0.187 0.500 0.187
Au2 Au 0.813 0.500 0.813
# final energy	-0.1806	hartree per atom
# ΔH_f (0 K)	-7.4	kcal/mol of atoms
# magnetization	0.00	μB/cell



6.
# TbTlNiAu (PBE, relaxed)
data_TbTlNiAu
_chemical_formula_sum 'Tb1 Tl1 Ni1 Au1'
_cell_length_a 4.856
_cell_length_b 4.856
_cell_length_c 4.856
_cell_angle_alpha 60.00
_cell_angle_beta 60.00
_cell_angle_gamma 60.00
_symmetry_space_group_name_H-M 'P 1'
_symmetry_Int_Tables_number 1
_symmetry_space_group_name_Hall 'P 1'
loop_
_atom_site_label
_atom_site_type_symbol
_atom_site_fract_x
_atom_site_fract_y
_atom_site_fract_z
Tl1 Tl 0.500 0.500 0.500
Ni1 Ni 0.250 0.250 0.250
Tb1 Tb 0.000 0.000 0.000
Au1 Au 0.750 0.750 0.750
# final energy	-0.1588	hartree per atom
# ΔH_f (0 K)	-7.1	kcal/mol of atoms
# magnetization	0.00	μB/cell



7.
# TbYNiAu (PBE, relaxed)
data_TbYNiAu
_chemical_formula_sum 'Tb1 Y1 Ni1 Au1'
_cell_length_a 3.782
_cell_length_b 4.513
_cell_length_c 5.600
_cell_angle_alpha 90.00
_cell_angle_beta 109.73
_cell_angle_gamma 90.00
_symmetry_space_group_name_H-M 'P 1'
_symmetry_Int_Tables_number 1
_symmetry_space_group_name_Hall 'P 1'
loop_
_atom_site_label
_atom_site_type_symbol
_atom_site_fract_x
_atom_site_fract_y
_atom_site_fract_z
Y1 Y 0.142 0.000 0.283
Au1 Au 0.578 0.500 0.157
Ni1 Ni 0.419 0.000 0.837
Tb1 Tb 0.862 0.500 0.723
# final energy	-0.2084	hartree per atom
# ΔH_f (0 K)	-14.6	kcal/mol of atoms
# magnetization	0.00	μB/cell



8.
# TbYNiAu (PBE, relaxed)
data_TbYNiAu
_chemical_formula_sum 'Tb1 Y1 Ni1 Au1'
_cell_length_a 4.975
_cell_length_b 4.975
_cell_length_c 4.975
_cell_angle_alpha 60.00
_cell_angle_beta 60.00
_cell_angle_gamma 60.00
_symmetry_space_group_name_H-M 'P 1'
_symmetry_Int_Tables_number 1
_symmetry_space_group_name_Hall 'P 1'
loop_
_atom_site_label
_atom_site_type_symbol
_atom_site_fract_x
_atom_site_fract_y
_atom_site_fract_z
Y1 Y 0.000 0.000 0.000
Au1 Au 0.250 0.250 0.250
Tb1 Tb 0.500 0.500 0.500
Ni1 Ni 0.750 0.750 0.750
# final energy	-0.2064	hartree per atom
# ΔH_f (0 K)	-13.3	kcal/mol of atoms
# magnetization	0.00	μB/cell